# KCoBr2F | Alexandria via LeMat-Bulk | PBE+U | optimized geometry
# * distance to the lowest polymorph of the same formula: 0.0 kJ/mol of formula units
# * DOS(E_F): 0.0 states/eV/cell
data_KCoBr2F
_symmetry_space_group_name_H-M 'P 1 21/m 1'
_symmetry_Int_Tables_number 11
_symmetry_space_group_name_Hall '-P 2yb'
_cell_length_a 7.528
_cell_length_b 3.960
_cell_length_c 9.570
_cell_angle_alpha 90.00
_cell_angle_beta 111.47
_cell_angle_gamma 90.00
loop_
_atom_site_label
_atom_site_type_symbol
_atom_site_fract_x
_atom_site_fract_y
_atom_site_fract_z
K1 K 0.243 0.250 0.107
Co1 Co 0.051 0.250 0.682
Br1 Br 0.182 0.250 0.464
Br2 Br 0.286 0.750 0.822
F1 F 0.058 0.750 0.160